A geometry-optimized YZnGa structure, computed with PBE.

Structure (POSCAR):
```
YZnGa
1.0
0.000 3.356 3.356
3.356 0.000 3.356
3.356 3.356 0.000
Ga Zn Y
1 1 1
direct
0.250 0.250 0.250 Ga
0.750 0.750 0.750 Zn
0.500 0.500 0.500 Y
```

**Spin magnetization**: 0.000 μB/atom
**E**: -10.6 eV/cell
**ΔH_f (0 K)**: 0.05 eV per atom
**N(E_F)**: 0.5798 states/eV per atom

A geometry-optimized YZn4Ga2 structure, computed with PBE.

Structure (POSCAR):
```
YZn4Ga2
1.0
-2.700 2.995 0.448
-0.089 -0.685 4.043
5.536 5.153 -1.087
Zn Ga Y
4 2 1
direct
0.500 0.814 0.628 Zn
0.000 0.309 0.619 Zn
0.500 0.186 0.372 Zn
0.000 0.691 0.381 Zn
0.500 0.417 0.833 Ga
0.500 0.583 0.167 Ga
0.000 0.000 0.000 Y
```

**Spin magnetization**: 0.000 μB/atom
**E**: -19.6 eV/cell
**ΔH_f (0 K)**: -0.29 eV per atom
**N(E_F)**: 0.2280 states/eV per atom

A geometry-optimized YZnGa structure, computed with PBE.

Structure (POSCAR):
```
YZnGa
1.0
5.784 -0.002 0.002
0.003 4.037 0.001
-0.043 -2.021 5.267
Zn Y Ga
2 2 2
direct
0.552 0.573 0.778 Zn
0.788 0.173 0.978 Zn
0.808 0.878 0.389 Y
0.296 0.266 0.163 Y
0.053 0.574 0.780 Ga
0.314 0.972 0.575 Ga
```

**Spin magnetization**: 0.000 μB/atom
**E**: -24.4 eV/cell
**ΔH_f (0 K)**: -0.48 eV per atom
**N(E_F)**: 0.5355 states/eV per atom

A geometry-optimized YZnGa structure, computed with PBE.

Structure (POSCAR):
```
YZnGa
1.0
-6.126 0.313 -4.952
-0.817 -4.305 0.739
-0.810 2.993 3.184
Y Ga Zn
2 2 2
direct
0.732 0.136 0.905 Y
0.241 0.972 0.577 Y
0.490 0.389 0.410 Ga
0.984 0.554 0.740 Ga
0.873 0.850 0.332 Zn
0.491 0.723 0.077 Zn
```

**Spin magnetization**: 0.000 μB/atom
**E**: -24.2 eV/cell
**ΔH_f (0 K)**: -0.44 eV per atom
**N(E_F)**: 0.6185 states/eV per atom

A geometry-optimized Y2ZnGa8 structure, computed with PBE.

Structure (POSCAR):
```
Y2ZnGa8
1.0
4.424 0.000 0.000
0.000 4.424 0.000
0.000 0.000 11.029
Ga Zn Y
8 1 2
direct
0.500 0.500 0.304 Ga
0.500 0.000 0.126 Ga
0.000 0.500 0.874 Ga
0.000 0.500 0.126 Ga
0.000 0.500 0.500 Ga
0.500 0.000 0.874 Ga
0.500 0.000 0.500 Ga
0.500 0.500 0.696 Ga
0.000 0.000 0.000 Zn
0.000 0.000 0.309 Y
0.000 0.000 0.691 Y
```

**Spin magnetization**: 0.000 μB/atom
**E**: -42.4 eV/cell
**ΔH_f (0 K)**: -0.36 eV per atom
**N(E_F)**: 0.2480 states/eV per atom

A geometry-optimized Y2Zn15Ga2 structure, computed with PBE.

Structure (POSCAR):
```
Y2Zn15Ga2
1.0
6.805 -0.081 -0.072
0.803 6.758 -0.072
0.803 0.705 6.722
Zn Y Ga
15 2 2
direct
0.000 0.500 0.000 Zn
0.650 0.168 0.650 Zn
0.350 0.350 0.832 Zn
0.309 0.691 0.000 Zn
0.650 0.650 0.168 Zn
0.691 0.309 0.000 Zn
0.691 0.000 0.309 Zn
0.000 0.691 0.309 Zn
0.832 0.350 0.350 Zn
0.500 0.000 0.000 Zn
0.168 0.650 0.650 Zn
0.000 0.000 0.500 Zn
0.350 0.832 0.350 Zn
0.309 0.000 0.691 Zn
0.000 0.309 0.691 Zn
0.665 0.665 0.665 Y
0.335 0.335 0.335 Y
0.099 0.099 0.099 Ga
0.901 0.901 0.901 Ga
```

**Spin magnetization**: 0.000 μB/atom
**E**: -42.5 eV/cell
**ΔH_f (0 K)**: -0.23 eV per atom
**N(E_F)**: 0.3982 states/eV per atom

A geometry-optimized Y3Zn4Ga4 structure, computed with PBE.

Structure (POSCAR):
```
Y3Zn4Ga4
1.0
-0.138 -0.059 -3.776
3.796 -2.095 -0.107
-4.516 -12.584 -1.537
Ga Zn Y
4 4 3
direct
0.312 0.811 0.377 Ga
0.688 0.189 0.623 Ga
0.547 0.548 0.903 Ga
0.453 0.452 0.097 Ga
0.594 0.094 0.811 Zn
0.745 0.745 0.510 Zn
0.406 0.906 0.189 Zn
0.255 0.255 0.490 Zn
0.000 0.000 0.000 Y
0.145 0.645 0.709 Y
0.855 0.355 0.291 Y
```

**Spin magnetization**: 0.000 μB/atom
**E**: -42.1 eV/cell
**ΔH_f (0 K)**: -0.50 eV per atom
**N(E_F)**: 0.4641 states/eV per atom

A geometry-optimized YZn3Ga structure, computed with PBE.

Structure (POSCAR):
```
YZn3Ga
1.0
-3.102 -2.649 -0.896
-0.966 -0.218 4.058
-1.312 5.453 -2.111
Zn Y Ga
3 1 1
direct
0.153 0.644 0.297 Zn
0.644 0.153 0.297 Zn
0.014 0.014 0.031 Zn
0.398 0.398 0.796 Y
0.788 0.788 0.573 Ga
```

**Spin magnetization**: 0.000 μB/atom
**E**: -15.2 eV/cell
**ΔH_f (0 K)**: -0.38 eV per atom
**N(E_F)**: 0.4860 states/eV per atom
**Excess energy over the best structure of this formula in the dataset**: 0 meV per atom